<one>
AcErP2 (PBE, optimized geometry); space-group type = Fm-3m; crystal system = cubic; ρ = 8.050 g/cm3; total moment = 0.00 Bohr magnetons per cell
1.0
7.2205 0.0000 0.0000
0.0000 7.2205 0.0000
0.0000 0.0000 7.2205
Ac Er P
4 4 8
Cartesian
0.0000 0.0000 0.0000
0.0000 3.6102 3.6102
3.6102 0.0000 3.6102
3.6102 3.6102 0.0000
0.0000 0.0000 3.6102
0.0000 3.6102 0.0000
3.6102 0.0000 0.0000
3.6102 3.6102 3.6102
1.8051 1.8051 1.8051
1.8051 1.8051 5.4154
1.8051 5.4154 1.8051
1.8051 5.4154 5.4154
5.4154 1.8051 1.8051
5.4154 1.8051 5.4154
5.4154 5.4154 1.8051
5.4154 5.4154 5.4154

---

<two>
AcErP2 (PBE, optimized geometry); space-group type = R3m; crystal system = trigonal; ρ = 7.153 g/cm3; total moment = 0.00 Bohr magnetons per cell
1.0
4.1297 0.0000 0.0000
-2.0649 3.5764 0.0000
0.0000 0.0000 21.5128
Ac Er P
3 3 6
Cartesian
0.0000 0.0000 0.0000
0.0000 2.3843 14.3419
2.0649 1.1921 7.1709
0.0000 0.0000 17.8352
0.0000 2.3843 10.6642
2.0649 1.1921 3.4933
0.0000 0.0000 5.1257
0.0000 0.0000 9.0894
0.0000 2.3843 1.9184
0.0000 2.3843 19.4676
2.0649 1.1921 12.2966
2.0649 1.1921 16.2603

---

Top of the stability list: <two>, leading by 0.341 eV/atom.

---

<one>
AcErPd (PBE, optimized geometry); space-group type = P2_1/c; crystal system = monoclinic; ρ = 8.968 g/cm3; total moment = 0.00 Bohr magnetons per cell
1.0
6.9471 0.0000 0.0000
0.0000 7.3110 0.0000
-4.7884 0.0000 7.3009
Ac Er Pd
4 4 4
Cartesian
-0.4994 1.1592 3.1306
-2.8936 2.4963 6.7810
5.0523 4.8148 0.5199
2.6581 6.1518 4.1704
-0.8762 4.6860 4.2117
1.5180 6.2806 0.5612
0.6408 1.0305 6.7397
3.0350 2.6251 3.0892
0.8432 4.0628 2.0927
-1.5510 6.9038 5.7431
3.7097 0.4073 1.5578
1.3155 3.2483 5.2083

---

<two>
AcErPd (PBE, optimized geometry); space-group type = F-43m; crystal system = cubic; ρ = 8.771 g/cm3; total moment = 0.00 Bohr magnetons per cell
1.0
7.2378 0.0000 0.0000
0.0000 7.2378 0.0000
0.0000 0.0000 7.2378
Ac Er Pd
4 4 4
Cartesian
0.0000 0.0000 0.0000
0.0000 3.6189 3.6189
3.6189 0.0000 3.6189
3.6189 3.6189 0.0000
0.0000 0.0000 3.6189
0.0000 3.6189 0.0000
3.6189 0.0000 0.0000
3.6189 3.6189 3.6189
1.8094 1.8094 1.8094
1.8094 5.4283 5.4283
5.4283 1.8094 5.4283
5.4283 5.4283 1.8094

---

<three>
AcErPd (PBE, optimized geometry); space-group type = P-62m; crystal system = hexagonal; ρ = 9.587 g/cm3; total moment = 0.01 Bohr magnetons per cell
1.0
8.4133 0.0000 0.0000
-4.2066 7.2861 0.0000
0.0000 0.0000 4.2440
Ac Er Pd
3 3 3
Cartesian
-1.7772 3.0781 0.0000
3.5543 0.0000 0.0000
2.4295 4.2080 0.0000
-3.2246 5.5852 2.1220
0.9820 1.7009 2.1220
6.4492 0.0000 2.1220
0.0000 0.0000 0.0000
0.0000 4.8574 2.1220
4.2066 2.4287 2.1220

---

Top of the stability list: <three>, leading by 0.012 eV/atom.

---

<one>
Ac2ErPd (PBE, optimized geometry); space-group type = R-3m; crystal system = trigonal; ρ = 8.573 g/cm3; total moment = 0.00 Bohr magnetons per cell
1.0
3.7431 0.0000 0.0000
-1.8715 3.2416 0.0000
0.0000 0.0000 34.8497
Ac Er Pd
6 3 3
Cartesian
0.0000 0.0000 2.7736
0.0000 0.0000 32.0761
0.0000 2.1611 20.4595
0.0000 2.1611 26.0068
1.8715 1.0805 8.8429
1.8715 1.0805 14.3902
0.0000 0.0000 17.4248
0.0000 2.1611 5.8083
1.8715 1.0805 29.0414
0.0000 0.0000 0.0000
0.0000 2.1611 23.2331
1.8715 1.0805 11.6166

---

<two>
Ac2ErPd (PBE, optimized geometry); space-group type = P4/mmm; crystal system = tetragonal; ρ = 9.201 g/cm3; total moment = 0.00 Bohr magnetons per cell
1.0
3.9089 0.0000 0.0000
0.0000 3.9089 0.0000
0.0000 0.0000 8.5953
Ac Er Pd
2 1 1
Cartesian
0.0000 0.0000 1.7978
0.0000 0.0000 6.7975
1.9544 1.9544 4.2976
1.9544 1.9544 0.0000

---

Top of the stability list: <two>, leading by 0.462 eV/atom.

---

<one>
AcErPd4 (PBE, optimized geometry); space-group type = F-43m; crystal system = cubic; ρ = 11.225 g/cm3; total moment = 0.00 Bohr magnetons per cell
1.0
0.0000 3.9289 3.9289
3.9289 0.0000 3.9289
3.9289 3.9289 0.0000
Ac Er Pd
1 1 4
Cartesian
0.0000 0.0000 0.0000
5.8934 5.8934 5.8934
2.9518 2.9518 2.9518
4.9060 4.9060 2.9518
4.9060 2.9518 4.9060
2.9518 4.9060 4.9060

---

<two>
AcErPd4 (PBE, optimized geometry); space-group type = Cmcm; crystal system = orthorhombic; ρ = 10.751 g/cm3; total moment = 0.00 Bohr magnetons per cell
1.0
2.1461 -10.1647 0.0000
2.1461 10.1647 0.0000
0.0000 0.0000 5.8055
Ac Er Pd
2 2 8
Cartesian
2.1461 5.7410 4.3542
2.1461 -5.7410 1.4514
2.1461 8.7061 1.4514
2.1461 -8.7061 4.3542
2.1461 8.7724 4.3542
2.1461 2.8451 0.0098
2.1461 2.8451 2.8930
2.1461 0.0000 0.0000
2.1461 0.0000 2.9028
2.1461 -2.8451 2.9125
2.1461 -2.8451 5.7958
2.1461 -8.7724 1.4514

---

Top of the stability list: <two>, leading by 0.079 eV/atom.

---

<one>
AcPm4Er5 (PBE, optimized geometry); space-group type = C2/m; crystal system = monoclinic; ρ = 8.057 g/cm3; total moment = 0.00 Bohr magnetons per cell
1.0
11.0070 -1.8619 0.0000
11.0070 1.8619 0.0000
-1.1047 0.0000 8.2635
Ac Pm Er
1 4 5
Cartesian
0.0000 0.0000 0.0000
4.0449 0.0000 0.4286
7.7719 0.0000 5.4747
13.1375 0.0000 2.7888
16.8645 0.0000 7.8349
-0.5523 0.0000 4.1317
4.1128 0.0000 5.2970
8.5263 0.0000 2.0850
12.3831 0.0000 6.1785
16.7965 0.0000 2.9665

---

<two>
AcPm4Er5 (PBE, optimized geometry); space-group type = P4/mmm; crystal system = tetragonal; ρ = 8.193 g/cm3; total moment = 0.00 Bohr magnetons per cell
1.0
3.6401 0.0000 0.0000
0.0000 3.6401 0.0000
0.0000 0.0000 25.1367
Ac Pm Er
1 4 5
Cartesian
0.0000 0.0000 0.0000
0.0000 0.0000 5.1429
0.0000 0.0000 10.0940
0.0000 0.0000 15.0426
0.0000 0.0000 19.9938
1.8200 1.8200 2.6949
1.8200 1.8200 7.6255
1.8200 1.8200 12.5683
1.8200 1.8200 17.5112
1.8200 1.8200 22.4418

---

Top of the stability list: <two>, leading by 0.022 eV/atom.

---

<one>
AcPm2Er2 (PBE, optimized geometry); space-group type = Immm; crystal system = orthorhombic; ρ = 8.135 g/cm3; total moment = 0.00 Bohr magnetons per cell
1.0
3.6521 0.0000 0.0000
0.0000 5.7426 0.0000
0.0000 0.0000 16.5757
Ac Pm Er
2 4 4
Cartesian
0.0000 0.0000 0.0000
1.8260 2.8713 8.2878
0.0000 0.0000 6.6161
0.0000 0.0000 9.9596
1.8260 2.8713 1.6717
1.8260 2.8713 14.9039
0.0000 2.8713 4.7016
0.0000 2.8713 11.8740
1.8260 0.0000 3.5862
1.8260 0.0000 12.9895

---

<two>
AcPm2Er2 (PBE, optimized geometry); space-group type = P4/mbm; crystal system = tetragonal; ρ = 7.942 g/cm3; total moment = 0.00 Bohr magnetons per cell
1.0
9.7747 0.0000 0.0000
0.0000 9.7747 0.0000
0.0000 0.0000 3.7268
Ac Pm Er
2 4 4
Cartesian
0.0000 0.0000 0.0000
4.8874 4.8874 0.0000
1.7023 3.1851 1.8634
3.1851 8.0724 1.8634
6.5897 1.7023 1.8634
8.0724 6.5897 1.8634
1.1785 6.0658 0.0000
3.7089 1.1785 0.0000
6.0658 8.5963 0.0000
8.5963 3.7089 0.0000

---

Top of the stability list: <one>, leading by 0.036 eV/atom.

---

<one>
AcPm5Er2 (PBE, optimized geometry); space-group type = C2/c; crystal system = monoclinic; ρ = 7.546 g/cm3; total moment = 0.00 Bohr magnetons per cell
1.0
8.1873 -4.8832 0.0000
8.1873 4.8832 0.0000
-0.0267 0.0000 7.0814
Ac Pm Er
2 10 4
Cartesian
4.0937 2.4416 0.0000
4.0803 -2.4416 3.5407
8.1807 4.8809 1.7704
8.1673 -4.8809 5.3111
2.7999 1.2931 3.5371
2.7865 -1.2931 7.0779
5.8021 0.0056 5.3055
5.8154 -0.0056 1.7648
10.5326 0.0056 5.3167
10.5459 -0.0056 1.7759
13.5614 1.2931 0.0036
13.5481 -1.2931 3.5443
8.0033 1.8413 0.0003
8.3581 1.8413 3.5404
7.9899 -1.8413 3.5410
8.3447 -1.8413 7.0812

---

<two>
AcPm5Er2 (PBE, optimized geometry); space-group type = Pbam; crystal system = orthorhombic; ρ = 7.748 g/cm3; total moment = 0.00 Bohr magnetons per cell
1.0
7.3177 0.0000 0.0000
0.0000 14.6393 0.0000
0.0000 0.0000 5.1477
Ac Pm Er
2 10 4
Cartesian
0.0000 0.0000 0.0000
3.6588 7.3197 0.0000
0.0000 7.3197 0.0000
0.0155 3.6951 0.0000
1.7951 9.1840 2.5738
1.8637 1.8644 2.5738
3.6433 11.0148 0.0000
3.6588 0.0000 0.0000
3.6743 3.6246 0.0000
5.4540 12.7750 2.5738
5.5226 5.4553 2.5738
7.3022 10.9442 0.0000
1.8220 5.4552 2.5738
1.8369 12.7748 2.5738
5.4808 1.8645 2.5738
5.4957 9.1842 2.5738

---

Top of the stability list: <two>, leading by 0.116 eV/atom.

---

<one>
AcPm2Er6 (PBE, optimized geometry); space-group type = R3m; crystal system = trigonal; ρ = 7.315 g/cm3; total moment = 0.00 Bohr magnetons per cell
1.0
3.4298 1.9802 8.4700
-3.4298 1.9802 8.4700
0.0000 -3.9604 8.4700
Ac Pm Er
1 2 6
Cartesian
0.0000 0.0000 0.0000
0.0000 0.0000 6.1626
0.0000 0.0000 10.5797
-1.6966 -0.9795 13.9676
-1.7587 -1.0154 19.8944
1.6966 -0.9795 13.9676
0.0000 1.9590 13.9676
1.7587 -1.0154 19.8944
0.0000 2.0307 19.8944

---

<two>
AcPm2Er6 (PBE, optimized geometry); space-group type = C2/m; crystal system = monoclinic; ρ = 8.098 g/cm3; total moment = 0.00 Bohr magnetons per cell
1.0
5.5773 -3.3757 0.0000
5.5773 3.3757 0.0000
-2.9345 0.0000 8.2806
Ac Pm Er
1 2 6
Cartesian
0.0000 0.0000 0.0000
0.3221 0.0000 6.5741
7.8980 0.0000 1.7066
2.7153 1.7630 4.9406
2.9638 0.0000 1.9515
5.5049 1.7630 3.3400
2.7153 -1.7630 4.9406
5.2564 0.0000 6.3291
5.5049 -1.7630 3.3400

---

Top of the stability list: <two>, leading by 0.191 eV/atom.

---

<one>
AcPm2Er (PBE, optimized geometry); space-group type = R-3m; crystal system = trigonal; ρ = 7.786 g/cm3; total moment = 0.00 Bohr magnetons per cell
1.0
3.6223 0.0000 0.0000
-1.8112 3.1370 0.0000
0.0000 0.0000 38.5249
Ac Pm Er
3 6 3
Cartesian
0.0000 0.0000 0.0000
0.0000 2.0914 25.6833
1.8112 1.0457 12.8416
0.0000 0.0000 3.5731
0.0000 0.0000 34.9519
0.0000 2.0914 22.1102
0.0000 2.0914 29.2563
1.8112 1.0457 9.2686
1.8112 1.0457 16.4147
0.0000 0.0000 19.2625
0.0000 2.0914 6.4208
1.8112 1.0457 32.1041

---

<two>
AcPm2Er (PBE, optimized geometry); space-group type = P4/mmm; crystal system = tetragonal; ρ = 7.971 g/cm3; total moment = 0.00 Bohr magnetons per cell
1.0
5.2043 0.0000 0.0000
0.0000 5.2043 0.0000
0.0000 0.0000 5.2630
Ac Pm Er
1 2 1
Cartesian
0.0000 0.0000 0.0000
0.0000 2.6021 2.6315
2.6021 0.0000 2.6315
2.6021 2.6021 0.0000

---

<three>
AcPm2Er (PBE, optimized geometry); space-group type = R3m; crystal system = trigonal; ρ = 7.903 g/cm3; total moment = 0.00 Bohr magnetons per cell
1.0
3.7185 0.0000 0.0000
-1.8592 3.2203 0.0000
0.0000 0.0000 36.0197
Ac Pm Er
3 6 3
Cartesian
0.0000 0.0000 0.0000
0.0000 2.1469 24.0131
1.8592 1.0734 12.0066
0.0000 0.0000 8.8505
0.0000 0.0000 15.1636
0.0000 2.1469 3.1571
0.0000 2.1469 32.8636
1.8592 1.0734 20.8571
1.8592 1.0734 27.1702
0.0000 0.0000 30.0242
0.0000 2.1469 18.0176
1.8592 1.0734 6.0110

---

Top of the stability list: <two>, leading by 0.013 eV/atom.

---

<one>
AcPm3Er2 (PBE, optimized geometry); space-group type = C2/c; crystal system = monoclinic; ρ = 7.981 g/cm3; total moment = 0.00 Bohr magnetons per cell
1.0
4.6298 -5.0268 0.0000
4.6298 5.0268 0.0000
-1.9194 0.0000 8.9084
Ac Pm Er
2 6 4
Cartesian
3.1902 4.3816 6.6813
4.1500 -4.3816 2.2271
2.5138 0.9010 0.1522
1.5541 -0.9010 4.6064
3.1902 0.9562 6.6813
4.1500 -0.9562 2.2271
5.7861 0.9010 4.3020
4.8264 -0.9010 8.7562
2.7046 2.4596 3.3558
5.5953 2.4596 1.0984
1.7449 -2.4596 7.8100
4.6356 -2.4596 5.5526

---

<two>
AcPm3Er2 (PBE, optimized geometry); space-group type = Immm; crystal system = orthorhombic; ρ = 7.730 g/cm3; total moment = 0.00 Bohr magnetons per cell
1.0
3.5227 0.0000 0.0000
0.0000 6.1698 0.0000
0.0000 0.0000 19.6977
Ac Pm Er
2 6 4
Cartesian
0.0000 0.0000 0.0000
1.7614 3.0849 9.8488
0.0000 0.0000 3.7814
0.0000 0.0000 15.9163
0.0000 3.0849 0.0000
1.7614 0.0000 9.8488
1.7614 3.0849 6.0674
1.7614 3.0849 13.6303
0.0000 0.0000 7.1132
0.0000 0.0000 12.5845
1.7614 3.0849 2.7357
1.7614 3.0849 16.9620

---

Top of the stability list: <one>, leading by 0.287 eV/atom.

---

<one>
Ac2Pm8Er (PBE, optimized geometry); space-group type = C2/m; crystal system = monoclinic; ρ = 7.230 g/cm3; total moment = 0.00 Bohr magnetons per cell
1.0
9.9662 -3.5696 0.0000
9.9662 3.5696 0.0000
-0.3421 0.0000 5.7498
Ac Pm Er
2 8 1
Cartesian
4.2768 0.0000 1.4841
15.3135 0.0000 4.2657
0.8030 0.0000 1.3423
7.4574 1.8766 1.5409
6.2065 0.0000 4.4634
12.1329 1.8766 4.2089
7.4574 -1.8766 1.5409
13.3838 0.0000 1.2864
12.1329 -1.8766 4.2089
18.7873 0.0000 4.4075
9.9662 0.0000 0.0000

---

<two>
Ac2Pm8Er (PBE, optimized geometry); space-group type = C2/m; crystal system = monoclinic; ρ = 7.385 g/cm3; total moment = 0.00 Bohr magnetons per cell
1.0
8.4003 -3.4570 0.0000
8.4003 3.4570 0.0000
-1.3513 0.0000 6.8964
Ac Pm Er
2 8 1
Cartesian
2.8858 0.0000 2.1309
12.5636 0.0000 4.7655
6.8327 1.6313 0.7177
2.9946 0.0000 5.6579
8.6167 1.6313 6.1787
6.1314 0.0000 4.0836
9.3180 0.0000 2.8128
6.8327 -1.6313 0.7177
12.4548 0.0000 1.2385
8.6167 -1.6313 6.1787
-0.6756 0.0000 3.4482

---

Top of the stability list: <two>, leading by 0.046 eV/atom.